Here is a relaxed structure of Sr2Ga5Ag from Alexandria via LeMat-Bulk. Energies are from PBE-GGA.

```
Sr2Ga5Ag
1.0
2.240 -8.754 0.000
2.240 8.754 0.000
0.000 0.000 9.430
Sr Ga Ag
4 10 2
direct
0.000 0.000 0.000
0.000 0.000 0.500
0.202 0.798 0.750
0.798 0.202 0.250
0.191 0.809 0.107
0.191 0.809 0.393
0.352 0.648 0.018
0.352 0.648 0.482
0.406 0.594 0.750
0.594 0.406 0.250
0.648 0.352 0.518
0.648 0.352 0.982
0.809 0.191 0.607
0.809 0.191 0.893
0.442 0.558 0.250
0.558 0.442 0.750
```

Summary:
**DOS(E_F)**: 7.63 states/eV/cell
**DFT formation energy**: -3.191 eV/f.u.